Material: NaAgAuF6
Method: DFT, GGA-PBE
State: relaxed

SG: P312, No. 149
Raw formation energy: -1425 meV/atom
Uncorrected energy: -3.500 eV per atom

a = 4.8726 Å, b = 5.6852 Å, c = 5.6852 Å
α = 120.00°, β = 90.00°, γ = 90.00°
Last column: nearest neighbours and their distance in Å.
Sites, in units of the cell vectors:
Na (0.5000, 0.6667, 0.3333)  6 F 2.32
Ag (0.0000, 0.3333, 0.6667)  6 F 2.31
Au (0.5000, 0.0000, 0.0000)  6 F 2.10
F (0.7363, 0.6850, 0.6973)  1 Au 2.10, 1 Ag 2.31, 1 Na 2.32
F (0.7363, 0.3027, 0.9877)  1 Au 2.10, 1 Ag 2.31, 1 Na 2.32
F (0.7363, 0.0123, 0.3150)  1 Au 2.10, 1 Ag 2.31, 1 Na 2.32
F (0.2637, 0.3027, 0.3150)  1 Au 2.10, 1 Ag 2.31, 1 Na 2.32
F (0.2637, 0.6850, 0.9877)  1 Au 2.10, 1 Ag 2.31, 1 Na 2.32
F (0.2637, 0.0123, 0.6973)  1 Au 2.10, 1 Ag 2.31, 1 Na 2.32